# 1
Density functional theory data (PBE) for a relaxed BaCuAs2 crystal.

Output
size of the total moment	0.000	μB/atom
theoretical density	5.3	g cm⁻³

Cell: 5.2065 5.2065 8.8932 Å, 72.98 72.98 90.00°
Last column: nearest neighbours and their distance in Å.
Positions (direct):
As  0.4517  0.1250  0.2500  2 Cu 2.44, 2 As 2.72
As  0.3750  0.5483  0.7500  2 Cu 2.44, 2 As 2.72
As  0.2983  0.6250  0.2500  2 Cu 2.44, 2 As 2.72
As  0.8750  0.7017  0.7500  2 Cu 2.44, 2 As 2.72
Ba  0.0000  0.0000  0.0000  4 As 3.26
Ba  0.7500  0.2500  0.5000  4 As 3.26
Cu  0.2500  0.7500  0.5000  4 As 2.44
Cu  0.5000  0.5000  0.0000  4 As 2.44



# 2
Density functional theory data (PBE) for a relaxed MgNiSbIr crystal.

Output
size of the total moment	0.000	μB/atom
theoretical density	10.4	g cm⁻³
E_form (uncorrected)	-0.7	eV/f.u.

Cell: 4.4721 4.4721 4.4721 Å, 60.00 60.00 60.00°
Last column: nearest neighbours and their distance in Å.
Positions (direct):
Ni  0.7500  0.7500  0.7500  4 Sb 2.74, 4 Mg 2.74
Sb  0.5000  0.5000  0.5000  4 Ir 2.74, 4 Ni 2.74
Mg  0.0000  0.0000  0.0000  4 Ni 2.74, 4 Ir 2.74
Ir  0.2500  0.2500  0.2500  4 Sb 2.74, 4 Mg 2.74



# 3
Density functional theory data (PBE) for a relaxed Sr2InTcO6 crystal.

Output
size of the total moment	0.200	μB/atom
theoretical density	5.9	g cm⁻³
E_form (uncorrected)	-20.8	eV/f.u.

Cell: 5.7468 5.8024 8.1445 Å, 90.00 90.24 90.00°
Last column: nearest neighbours and their distance in Å.
Positions (direct):
O  0.5736  0.0191  0.2621  1 Tc 1.99, 1 In 2.18
O  0.3002  0.7242  0.4596  1 Tc 2.00, 1 In 2.19
O  0.7258  0.2979  0.9623  1 Tc 1.99, 1 In 2.18
O  0.2258  0.2021  0.4623  1 Tc 1.99, 1 In 2.18
O  0.4264  0.9809  0.7379  1 Tc 1.99, 1 In 2.18
O  0.8002  0.7758  0.9596  1 Tc 2.00, 1 In 2.19
O  0.6998  0.2758  0.5404  1 Tc 2.00, 1 In 2.19
O  0.1998  0.2242  0.0404  1 Tc 2.00, 1 In 2.19
O  0.7742  0.7979  0.5377  1 Tc 1.99, 1 In 2.18
O  0.0736  0.4809  0.7621  1 Tc 1.99, 1 In 2.18
O  0.9264  0.5191  0.2379  1 Tc 1.99, 1 In 2.18
O  0.2742  0.7021  0.0377  1 Tc 1.99, 1 In 2.18
Tc  0.5000  0.0000  0.5000  6 O 1.99-2.00
Tc  0.0000  0.5000  0.0000  6 O 1.99-2.00
Sr  0.0074  0.9645  0.2498  6 O 2.52-2.77
Sr  0.9926  0.0355  0.7502  6 O 2.52-2.77
Sr  0.4926  0.4645  0.2502  6 O 2.52-2.77
Sr  0.5074  0.5355  0.7498  6 O 2.52-2.77
In  0.5000  0.0000  0.0000  6 O 2.18-2.19
In  0.0000  0.5000  0.5000  6 O 2.18-2.19



# 4
Density functional theory data (PBE) for a relaxed AgPbCl5 crystal.

Output
offset from the most stable computed form	0	meV per atom
size of the total moment	0.000	μB/atom
theoretical density	3.5	g cm⁻³
E_form (uncorrected)	-4.0	eV/f.u.

Cell: 6.9336 6.9336 12.5521 Å, 62.74 62.74 68.53°
Last column: nearest neighbours and their distance in Å.
Positions (direct):
Cl  0.7819  0.7185  0.6289  1 Ag 2.40
Cl  0.0168  0.9832  0.7500  1 Pb 2.58
Cl  0.7189  0.3236  0.0096  1 Ag 2.38
Cl  0.3236  0.7189  0.5096  1 Ag 2.38
Cl  0.2181  0.2815  0.3711  1 Ag 2.40
Cl  0.6764  0.2811  0.4904  1 Ag 2.38
Cl  0.9832  0.0168  0.2500  1 Pb 2.58
Cl  0.2811  0.6764  0.9904  1 Ag 2.38
Cl  0.7185  0.7819  0.1289  1 Ag 2.40
Cl  0.2815  0.2181  0.8711  1 Ag 2.40
Ag  0.0000  0.0000  0.5000  4 Cl 2.38-2.40
Ag  0.0000  0.0000  0.0000  4 Cl 2.38-2.40
Pb  0.6531  0.3469  0.2500  3 Cl 2.58-2.79
Pb  0.3469  0.6531  0.7500  3 Cl 2.58-2.79



# 5
Density functional theory data (PBE) for a relaxed EuCoGe3 crystal.

Output
size of the total moment	1.345	μB/atom
theoretical density	7.7	g cm⁻³

Cell: 4.3232 4.3232 5.8283 Å, 111.81 111.81 89.97°
Last column: nearest neighbours and their distance in Å.
Positions (direct):
Eu  0.0101  0.0101  0.0199  12 Ge 3.13-3.32, 5 Co 3.37-3.45
Co  0.3498  0.3498  0.6995  5 Ge 2.28-2.35
Ge  0.7561  0.2562  0.5125  2 Co 2.35
Ge  0.5801  0.5801  0.1601  1 Co 2.28
Ge  0.2563  0.7561  0.5125  2 Co 2.35



# 6
Density functional theory data (PBE) for a relaxed Sr3Ga2Au9 crystal.

Output
size of the total moment	0.000	μB/atom
theoretical density	11.3	g cm⁻³

Cell: 4.5666 8.7684 8.7684 Å, 73.65 74.91 74.91°
Last column: nearest neighbours and their distance in Å.
Positions (direct):
Au  0.3360  0.2963  0.0317  1 Ga 2.68, 4 Au 2.78-2.95
Au  0.8759  0.8395  0.4087  4 Au 2.80-2.95, 2 Ga 2.82
Au  0.0000  0.5000  0.5000  4 Au 2.80
Au  0.3360  0.0317  0.2963  1 Ga 2.68, 4 Au 2.78-2.95
Au  0.6640  0.7037  0.9683  1 Ga 2.68, 4 Au 2.78-2.95
Au  0.1241  0.1605  0.5913  4 Au 2.80-2.95, 2 Ga 2.82
Au  0.1241  0.5913  0.1605  4 Au 2.80-2.95, 2 Ga 2.82
Au  0.6640  0.9683  0.7037  1 Ga 2.68, 4 Au 2.78-2.95
Au  0.8759  0.4087  0.8395  4 Au 2.80-2.95, 2 Ga 2.82
Ga  0.5000  0.7190  0.2810  6 Au 2.68-2.82
Ga  0.5000  0.2810  0.7190  6 Au 2.68-2.82
Sr  0.0000  0.0000  0.0000  12 Au 3.42-3.45, 4 Ga 3.73
Sr  0.3067  0.6933  0.6933  10 Au 3.28-3.43, 2 Ga 3.45
Sr  0.6933  0.3067  0.3067  10 Au 3.28-3.43, 2 Ga 3.45



# 7
Density functional theory data (PBE) for a relaxed TmAl2AgPd2 crystal.

Output
size of the total moment	0.000	μB/atom
theoretical density	8.4	g cm⁻³

Cell: 4.4082 4.4082 6.3730 Å, 90.00 90.00 120.00°
Last column: nearest neighbours and their distance in Å.
Positions (direct):
Tm  0.0000  0.0000  0.0000  6 Pd 3.06, 2 Ag 3.19, 6 Al 3.24
Ag  0.0000  0.0000  0.5000  6 Al 2.80, 6 Pd 2.95
Pd  0.6667  0.3333  0.7339  4 Al 2.56-2.66
Pd  0.3333  0.6667  0.2661  4 Al 2.56-2.66
Al  0.3333  0.6667  0.6842  4 Pd 2.56-2.66, 3 Ag 2.80
Al  0.6667  0.3333  0.3158  4 Pd 2.56-2.66, 3 Ag 2.80



# 8
Density functional theory data (PBE) for a relaxed Mn3Hg2 crystal.

Output
offset from the most stable computed form	168	meV per atom
size of the total moment	2.450	μB/atom
theoretical density	9.2	g cm⁻³

Cell: 4.5476 4.5476 5.6785 Å, 90.00 90.00 120.00°
Last column: nearest neighbours and their distance in Å.
Positions (direct):
Hg  0.3333  0.6667  0.8181  8 Mn 2.71-2.96
Hg  0.6667  0.3333  0.1819  8 Mn 2.71-2.96
Mn  0.6667  0.3333  0.6599  5 Hg 2.71-2.96
Mn  0.0000  0.0000  0.0000  6 Hg 2.82
Mn  0.3333  0.6667  0.3401  5 Hg 2.71-2.96



# 9
Density functional theory data (PBE) for a relaxed La2Ir2Os crystal.

Output
size of the total moment	0.000	μB/atom
theoretical density	13.0	g cm⁻³

Cell: 6.8621 6.8621 4.6426 Å, 90.00 90.00 90.00°
Last column: nearest neighbours and their distance in Å.
Positions (direct):
Os  0.0000  0.0000  0.0000  4 Ir 2.67
Os  0.5000  0.5000  0.0000  4 Ir 2.67
La  0.3180  0.1820  0.5000  6 Ir 2.92-3.20
La  0.6820  0.8180  0.5000  6 Ir 2.92-3.20
La  0.8180  0.3180  0.5000  6 Ir 2.92-3.20
La  0.1820  0.6820  0.5000  6 Ir 2.92-3.20
Ir  0.3644  0.8644  0.0000  1 Ir 2.63, 2 Os 2.67, 2 La 2.92
Ir  0.1356  0.3644  0.0000  1 Ir 2.63, 2 Os 2.67, 2 La 2.92
Ir  0.8644  0.6356  0.0000  1 Ir 2.63, 2 Os 2.67, 2 La 2.92
Ir  0.6356  0.1356  0.0000  1 Ir 2.63, 2 Os 2.67, 2 La 2.92



# 10
Density functional theory data (PBE) for a relaxed PmNd5Sm4 crystal.

Output
offset from the most stable computed form	0	meV per atom
size of the total moment	0.000	μB/atom
theoretical density	7.0	g cm⁻³

Cell: 3.5180 6.9546 14.5102 Å, 97.23 96.96 90.00°
Last column: nearest neighbours and their distance in Å.
Positions (direct):
Nd  0.5000  0.5000  0.0000  2 Pm 3.48, 2 Nd 3.52, 6 Sm 3.54-3.65
Nd  0.2059  0.1042  0.4117  8 Nd 3.46-3.64, 3 Sm 3.65-3.72
Nd  0.7941  0.8958  0.5883  8 Nd 3.46-3.64, 3 Sm 3.65-3.72
Nd  0.7994  0.4013  0.5988  8 Nd 3.46-3.75, 3 Sm 3.49-3.66
Nd  0.2006  0.5987  0.4012  8 Nd 3.46-3.75, 3 Sm 3.49-3.66
Sm  0.0938  0.2977  0.1876  4 Nd 3.49-3.65, 4 Sm 3.52-3.88, 2 Pm 3.64
Sm  0.3924  0.1898  0.7848  4 Sm 3.52-3.88, 1 Pm 3.52, 5 Nd 3.54-3.72
Sm  0.6076  0.8102  0.2152  4 Sm 3.52-3.88, 1 Pm 3.52, 5 Nd 3.54-3.72
Sm  0.9062  0.7023  0.8124  4 Nd 3.49-3.65, 4 Sm 3.52-3.88, 2 Pm 3.64
Pm  0.5000  0.0000  0.0000  2 Nd 3.48, 2 Pm 3.52, 6 Sm 3.52-3.64



# 11
Density functional theory data (PBE) for a relaxed TaVRu crystal.

Output
offset from the most stable computed form	0	meV per atom
size of the total moment	0.000	μB/atom
theoretical density	12.1	g cm⁻³

Cell: 3.0958 3.0957 9.5114 Å, 90.00 90.00 90.00°
Last column: nearest neighbours and their distance in Å.
Positions (direct):
Ta  0.3724  0.7912  0.3529  4 Ru 2.71, 4 Ta 2.86
Ta  0.8724  0.2912  0.1594  4 Ru 2.71, 4 Ta 2.86
Ru  0.8724  0.2912  0.5206  5 V 2.69-2.91, 4 Ta 2.71
Ru  0.3724  0.7912  0.9917  5 V 2.69-2.91, 4 Ta 2.71
V  0.3725  0.7910  0.6858  4 V 2.57, 4 Ru 2.69
V  0.8725  0.2910  0.8265  4 V 2.57, 4 Ru 2.69



# 12
Density functional theory data (PBE) for a relaxed Th2SnOs2 crystal.

Output
size of the total moment	0.000	μB/atom
theoretical density	13.5	g cm⁻³

Cell: 4.4745 5.7850 5.7866 Å, 62.17 67.26 67.25°
Last column: nearest neighbours and their distance in Å.
Positions (direct):
Os  0.0001  0.2026  0.2972  1 Os 2.42
Os  0.9999  0.7974  0.7028  1 Os 2.42
Th  0.2911  0.2089  0.7090  6 Os 3.13-3.14, 2 Sn 3.41
Th  0.7089  0.7911  0.2910  6 Os 3.13-3.14, 2 Sn 3.41
Sn  0.5000  0.5000  0.0000  4 Os 2.86



| no. | raw total energy (eV per atom) |
| --- | --- |
| 1 | -4.329 |
| 2 | -5.277 |
| 3 | -6.701 |
| 4 | -2.828 |
| 5 | -6.739 |
| 6 | -3.442 |
| 7 | -4.890 |
| 8 | -5.024 |
| 9 | -8.007 |
| 10 | -4.604 |
| 11 | -10.368 |
| 12 | -8.616 |